Record 1
The following is a PBE calculation of a relaxed BeNbBr2 crystal, from Alexandria via LeMat-Bulk.

**DOS(E_F)**: 1.61 states/eV/f.u.
**Size of the total moment**: 1.05 μB/f.u.
**VASP energy**: -29.1 eV per cell
**Offset from the most stable computed form**: 404 meV/atom
**E_form (uncorrected)**: 15.071 kcal/mol of atoms

Geometry as extended XYZ:
```
8
Lattice="-2.878 2.878 5.110 2.878 -2.878 5.110 2.878 2.878 -5.110" Properties=species:S:1:pos:R:3 pbc="T T T"
Be 0.000 0.000 0.000
Be 0.000 2.878 2.555
Nb 2.878 0.000 2.555
Nb 0.000 0.000 5.110
Br 4.317 1.072 -1.278
Br 1.072 1.439 1.278
Br -1.439 1.805 3.833
Br 1.805 1.439 6.388
```



Record 2
The following is a PBE calculation of a relaxed Be3NbBr crystal, from Alexandria via LeMat-Bulk.

**DOS(E_F)**: 6.29 states/eV/f.u.
**Size of the total moment**: 1.85 μB/f.u.
**VASP energy**: -14.3 eV per cell
**Offset from the most stable computed form**: 208 meV/atom
**E_form (uncorrected)**: 39.551 kcal/mol of atoms

Geometry as extended XYZ:
```
5
Lattice="4.748 0.000 0.000 0.000 4.748 0.000 0.000 0.000 4.748" Properties=species:S:1:pos:R:3 pbc="T T T"
Be 0.000 0.000 2.374
Be 0.000 2.374 0.000
Be 2.374 0.000 0.000
Nb 0.000 0.000 0.000
Br 2.374 2.374 2.374
```



Record 3
The following is a PBE calculation of a relaxed Be2NbBr crystal, from Alexandria via LeMat-Bulk.

**DOS(E_F)**: 4.29 states/eV/f.u.
**Size of the total moment**: 0.00 μB/f.u.
**VASP energy**: -14.4 eV per cell
**Offset from the most stable computed form**: 404 meV/atom
**E_form (uncorrected)**: 27.416 kcal/mol of atoms

Geometry as extended XYZ:
```
4
Lattice="0.000 3.121 3.121 3.121 0.000 3.121 3.121 3.121 0.000" Properties=species:S:1:pos:R:3 pbc="T T T"
Be 1.561 1.561 1.561
Be 4.682 4.682 4.682
Nb 0.000 0.000 0.000
Br 3.121 3.121 3.121
```



Record 4
The following is a PBE calculation of a relaxed BeNbBr2 crystal, from Alexandria via LeMat-Bulk.

**DOS(E_F)**: 1.77 states/eV/f.u.
**Size of the total moment**: 0.00 μB/f.u.
**VASP energy**: -14.7 eV per cell
**Offset from the most stable computed form**: 364 meV/atom
**E_form (uncorrected)**: 14.161 kcal/mol of atoms

Geometry as extended XYZ:
```
4
Lattice="0.000 3.283 3.283 3.283 0.000 3.283 3.283 3.283 0.000" Properties=species:S:1:pos:R:3 pbc="T T T"
Be 0.000 0.000 0.000
Nb 3.283 3.283 3.283
Br 1.641 1.641 1.641
Br 4.924 4.924 4.924
```



Record 5
The following is a PBE calculation of a relaxed BeNb2Br crystal, from Alexandria via LeMat-Bulk.

**DOS(E_F)**: 5.44 states/eV/f.u.
**Size of the total moment**: 0.00 μB/f.u.
**VASP energy**: -23.3 eV per cell
**Offset from the most stable computed form**: 0 meV/atom
**E_form (uncorrected)**: 12.677 kcal/mol of atoms

Geometry as extended XYZ:
```
4
Lattice="0.000 3.168 3.168 3.168 0.000 3.168 3.168 3.168 0.000" Properties=species:S:1:pos:R:3 pbc="T T T"
Be 0.000 0.000 0.000
Nb 1.584 1.584 1.584
Nb 4.752 4.752 4.752
Br 3.168 3.168 3.168
```



Record 6
The following is a PBE calculation of a relaxed BeNbPbBr2 crystal, from Alexandria via LeMat-Bulk.

**DOS(E_F)**: 4.67 states/eV/f.u.
**Size of the total moment**: 0.00 μB/f.u.
**VASP energy**: -18.3 eV per cell
**E_form (uncorrected)**: 11.639 kcal/mol of atoms

Geometry as extended XYZ:
```
5
Lattice="5.170 0.000 0.000 0.000 5.170 0.000 0.000 0.000 5.149" Properties=species:S:1:pos:R:3 pbc="T T T"
Be 0.000 0.000 0.000
Nb 0.000 0.000 2.575
Pb 2.585 2.585 0.000
Br 0.000 2.585 2.575
Br 2.585 0.000 2.575
```